No. 1
This record from Alexandria describes a relaxed structure of AsOsIN2. The functional is PBE.

Values from the calculation:
**Symmetry**: P4/mmm (123)

a = 3.849 Å, b = 3.849 Å, c = 6.481 Å
α = 90.00°, β = 90.00°, γ = 90.00°
Positions (direct):
As (0.000, 0.000, 0.000)
Os (0.500, 0.500, 0.500)
I (0.500, 0.500, 0.000)
N (0.000, 0.500, 0.500)
N (0.500, 0.000, 0.500)

---

No. 2
This record from Alexandria describes a relaxed structure of AsOsIN2. The functional is PBE.

Values from the calculation:
**Symmetry**: P4/mmm (123)

a = 3.747 Å, b = 3.747 Å, c = 7.162 Å
α = 90.00°, β = 90.00°, γ = 90.00°
Positions (direct):
As (0.000, 0.000, 0.000)
Os (0.500, 0.500, 0.500)
I (0.000, 0.000, 0.500)
N (0.000, 0.500, 0.000)
N (0.500, 0.000, 0.000)

---

No. 3
This record from Alexandria describes a relaxed structure of AsPIN2. The functional is PBE.

Values from the calculation:
**Symmetry**: P4/mmm (123)

a = 3.675 Å, b = 3.675 Å, c = 7.368 Å
α = 90.00°, β = 90.00°, γ = 90.00°
Positions (direct):
As (0.000, 0.000, 0.000)
P (0.500, 0.500, 0.500)
I (0.500, 0.500, 0.000)
N (0.000, 0.500, 0.500)
N (0.500, 0.000, 0.500)

---

No. 4
This record from Alexandria describes a relaxed structure of AsPIN2. The functional is PBE.

Values from the calculation:
**Symmetry**: P4/mmm (123)

a = 3.763 Å, b = 3.763 Å, c = 8.035 Å
α = 90.00°, β = 90.00°, γ = 90.00°
Positions (direct):
As (0.000, 0.000, 0.000)
P (0.500, 0.500, 0.500)
I (0.000, 0.000, 0.500)
N (0.000, 0.500, 0.000)
N (0.500, 0.000, 0.000)

---

Result set for DOS(E_F): 4.10 2.52 3.66 2.80 states/eV per cell, one per record in the order listed.
Result set for formation energy without anion corrections: 1.070 2.068 1.376 1.538 eV/atom, one per record in the order listed.
Result set for VASP energy: -5.75 -4.75 -4.28 -4.11 eV per atom, one per record in the order listed.